# 1
Here is a relaxed Ac6Sn2Au crystal from Alexandria via LeMat-Bulk. Energies are from PBE.

CIF file:
```
data_Ac6Sn2Au
_cell_length_a 7.0461
_cell_length_b 9.0975
_cell_length_c 12.9550
_cell_angle_alpha 90.00
_cell_angle_beta 122.66
_cell_angle_gamma 90.00
_symmetry_space_group_name_H-M 'P 1 21/c 1'
_symmetry_Int_Tables_number 14
_symmetry_space_group_name_Hall '-P 2ybc'
loop_
_atom_site_label
_atom_site_type_symbol
_atom_site_fract_x
_atom_site_fract_y
_atom_site_fract_z
Ac1 Ac 0.0730 0.1702 0.4456
Ac2 Ac 0.3227 0.6833 0.4446
Ac3 Ac 0.3977 0.0332 0.2661
Sn1 Sn 0.1690 0.1223 0.7529
Au1 Au 0.0000 0.0000 0.0000
```

Values from the calculation:
V	699.1	Å³/cell
energy relative to the elements	-412	kJ/mol of formula units
density	8534	kg/m3
raw total energy	-80.41	eV/cell

# 2
Here is a relaxed Ac4Sn8Au crystal from Alexandria via LeMat-Bulk. Energies are from PBE.

CIF file:
```
data_Ac4Sn8Au
_cell_length_a 4.5723
_cell_length_b 4.6850
_cell_length_c 19.1094
_cell_angle_alpha 90.00
_cell_angle_beta 90.00
_cell_angle_gamma 90.00
_symmetry_space_group_name_H-M 'P m m 2'
_symmetry_Int_Tables_number 25
_symmetry_space_group_name_Hall 'P 2 -2'
loop_
_atom_site_label
_atom_site_type_symbol
_atom_site_fract_x
_atom_site_fract_y
_atom_site_fract_z
Ac1 Ac 0.0000 0.0000 0.0000
Ac2 Ac 0.0000 0.5000 0.4860
Ac3 Ac 0.5000 0.0000 0.7863
Ac4 Ac 0.5000 0.5000 0.2807
Sn1 Sn 0.0000 0.0000 0.3322
Sn2 Sn 0.0000 0.0000 0.6262
Sn3 Sn 0.0000 0.5000 0.1363
Sn4 Sn 0.0000 0.5000 0.8572
Sn5 Sn 0.5000 0.0000 0.1439
Sn6 Sn 0.5000 0.0000 0.4317
Sn7 Sn 0.5000 0.5000 0.6258
Sn8 Sn 0.5000 0.5000 0.9530
Au1 Au 0.0000 0.5000 0.7146
```

Values from the calculation:
V	409.3	Å³/cell
energy relative to the elements	-747	kJ/mol of formula units
density	8335	kg/m3
raw total energy	-59.48	eV/cell

# 3
Here is a relaxed AcSnAu6 crystal from Alexandria via LeMat-Bulk. Energies are from PBE.

CIF file:
```
data_AcSnAu6
_cell_length_a 5.6449
_cell_length_b 5.6449
_cell_length_c 5.6449
_cell_angle_alpha 90.00
_cell_angle_beta 90.00
_cell_angle_gamma 90.00
_symmetry_space_group_name_H-M 'P m -3'
_symmetry_Int_Tables_number 200
_symmetry_space_group_name_Hall '-P 2 2 3'
loop_
_atom_site_label
_atom_site_type_symbol
_atom_site_fract_x
_atom_site_fract_y
_atom_site_fract_z
Ac1 Ac 0.0000 0.0000 0.0000
Sn1 Sn 0.5000 0.5000 0.5000
Au1 Au 0.0000 0.2549 0.5000
```

Values from the calculation:
V	179.9	Å³/cell
energy relative to the elements	-205	kJ/mol of formula units
density	14102	kg/m3
raw total energy	-29.90	eV/cell

# 4
Here is a relaxed Ac2SnAu3 crystal from Alexandria via LeMat-Bulk. Energies are from PBE.

CIF file:
```
data_Ac2SnAu3
_cell_length_a 8.1560
_cell_length_b 9.7135
_cell_length_c 16.8498
_cell_angle_alpha 90.00
_cell_angle_beta 90.00
_cell_angle_gamma 90.00
_symmetry_space_group_name_H-M 'F m m m'
_symmetry_Int_Tables_number 69
_symmetry_space_group_name_Hall '-F 2 2'
loop_
_atom_site_label
_atom_site_type_symbol
_atom_site_fract_x
_atom_site_fract_y
_atom_site_fract_z
Ac1 Ac 0.2357 0.0000 0.0000
Ac2 Ac 0.2500 0.2500 0.2500
Sn1 Sn 0.0000 0.0000 0.3356
Au1 Au 0.0000 0.0000 0.1687
Au2 Au 0.0000 0.2488 0.4165
```

Values from the calculation:
V	1334.9	Å³/cell
energy relative to the elements	-465	kJ/mol of formula units
density	11580	kg/m3
raw total energy	-214.98	eV/cell
polymorph energy (0 for the lowest one)	0	meV/atom

# 5
Here is a relaxed Ac3SnAu3 crystal from Alexandria via LeMat-Bulk. Energies are from PBE.

CIF file:
```
data_Ac3SnAu3
_cell_length_a 11.9613
_cell_length_b 4.5541
_cell_length_c 16.3926
_cell_angle_alpha 90.00
_cell_angle_beta 109.69
_cell_angle_gamma 90.00
_symmetry_space_group_name_H-M 'C 1 2/m 1'
_symmetry_Int_Tables_number 12
_symmetry_space_group_name_Hall '-C 2y'
loop_
_atom_site_label
_atom_site_type_symbol
_atom_site_fract_x
_atom_site_fract_y
_atom_site_fract_z
Ac1 Ac 0.0279 0.0000 0.3869
Ac2 Ac 0.0993 0.0000 0.9217
Ac3 Ac 0.2424 0.0000 0.2268
Sn1 Sn 0.2393 0.5000 0.3893
Au1 Au 0.0169 0.5000 0.2274
Au2 Au 0.1227 0.5000 0.0759
Au3 Au 0.1283 0.5000 0.5412
```

Values from the calculation:
V	840.7	Å³/cell
energy relative to the elements	-520	kJ/mol of formula units
density	10986	kg/m3
raw total energy	-126.18	eV/cell
polymorph energy (0 for the lowest one)	0	meV/atom

# 6
Here is a relaxed Ac4SnAu2 crystal from Alexandria via LeMat-Bulk. Energies are from PBE.

CIF file:
```
data_Ac4SnAu2
_cell_length_a 9.7680
_cell_length_b 14.7530
_cell_length_c 14.7912
_cell_angle_alpha 90.00
_cell_angle_beta 90.00
_cell_angle_gamma 90.00
_symmetry_space_group_name_H-M 'F d d d'
_symmetry_Int_Tables_number 70
loop_
_symmetry_equiv_pos_as_xyz
'x,y,z'
'-x,-y,-z'
'-x+1/4,-y+1/4,z'
'x+1/4,y+1/4,-z'
'x,-y+1/4,-z+1/4'
'-x,y+1/4,z+1/4'
'-x+1/4,y,-z+1/4'
'x+1/4,-y,z+1/4'
'x,y+1/2,z+1/2'
'-x,-y+1/2,-z+1/2'
'-x+1/4,-y+3/4,z+1/2'
'x+1/4,y+3/4,-z+1/2'
'x,-y+3/4,-z+3/4'
'-x,y+3/4,z+3/4'
'-x+1/4,y+1/2,-z+3/4'
'x+1/4,-y+1/2,z+3/4'
'x+1/2,y,z+1/2'
'-x+1/2,-y,-z+1/2'
'-x+3/4,-y+1/4,z+1/2'
'x+3/4,y+1/4,-z+1/2'
'x+1/2,-y+1/4,-z+3/4'
'-x+1/2,y+1/4,z+3/4'
'-x+3/4,y,-z+3/4'
'x+3/4,-y,z+3/4'
'x+1/2,y+1/2,z'
'-x+1/2,-y+1/2,-z'
'-x+3/4,-y+3/4,z'
'x+3/4,y+3/4,-z'
'x+1/2,-y+3/4,-z+1/4'
'-x+1/2,y+3/4,z+1/4'
'-x+3/4,y+1/2,-z+1/4'
'x+3/4,-y+1/2,z+1/4'
loop_
_atom_site_label
_atom_site_type_symbol
_atom_site_fract_x
_atom_site_fract_y
_atom_site_fract_z
Ac1 Ac 0.0547 0.2839 0.4658
Sn1 Sn 0.1250 0.1250 0.6250
Au1 Au 0.0000 0.0000 0.0000
```

Values from the calculation:
V	2131.5	Å³/cell
energy relative to the elements	-398	kJ/mol of formula units
density	8854	kg/m3
raw total energy	-248.94	eV/cell

# 7
Here is a relaxed Ac3Sn4Au4 crystal from Alexandria via LeMat-Bulk. Energies are from PBE.

CIF file:
```
data_Ac3Sn4Au4
_cell_length_a 4.6156
_cell_length_b 7.9388
_cell_length_c 16.3552
_cell_angle_alpha 90.00
_cell_angle_beta 90.00
_cell_angle_gamma 90.00
_symmetry_space_group_name_H-M 'I m m m'
_symmetry_Int_Tables_number 71
_symmetry_space_group_name_Hall '-I 2 2'
loop_
_atom_site_label
_atom_site_type_symbol
_atom_site_fract_x
_atom_site_fract_y
_atom_site_fract_z
Ac1 Ac 0.0000 0.0000 0.0000
Ac2 Ac 0.0000 0.5000 0.1277
Sn1 Sn 0.0000 0.3068 0.3383
Au1 Au 0.0000 0.0000 0.2123
Au2 Au 0.0000 0.1845 0.5000
```

Values from the calculation:
V	599.3	Å³/cell
energy relative to the elements	-675	kJ/mol of formula units
density	10771	kg/m3
raw total energy	-96.89	eV/cell
polymorph energy (0 for the lowest one)	77	meV/atom

# 8
Here is a relaxed Ac7Sn2Au2 crystal from Alexandria via LeMat-Bulk. Energies are from PBE.

CIF file:
```
data_Ac7Sn2Au2
_cell_length_a 8.9049
_cell_length_b 12.2886
_cell_length_c 7.7385
_cell_angle_alpha 90.00
_cell_angle_beta 90.00
_cell_angle_gamma 90.00
_symmetry_space_group_name_H-M 'C m m m'
_symmetry_Int_Tables_number 65
_symmetry_space_group_name_Hall '-C 2 2'
loop_
_atom_site_label
_atom_site_type_symbol
_atom_site_fract_x
_atom_site_fract_y
_atom_site_fract_z
Ac1 Ac 0.0000 0.0000 0.0000
Ac2 Ac 0.0000 0.5000 0.2444
Ac3 Ac 0.2500 0.2500 0.2707
Sn1 Sn 0.1701 0.0000 0.5000
Au1 Au 0.0000 0.2826 0.0000
```

Values from the calculation:
V	846.8	Å³/cell
energy relative to the elements	-400	kJ/mol of formula units
density	8708	kg/m3
raw total energy	-94.93	eV/cell

# 9
Here is a relaxed Ac2Sn3Au4 crystal from Alexandria via LeMat-Bulk. Energies are from PBE.

CIF file:
```
data_Ac2Sn3Au4
_cell_length_a 6.4253
_cell_length_b 16.7910
_cell_length_c 8.5444
_cell_angle_alpha 90.00
_cell_angle_beta 90.00
_cell_angle_gamma 90.00
_symmetry_space_group_name_H-M 'C m c e'
_symmetry_Int_Tables_number 64
_symmetry_space_group_name_Hall '-C 2ac 2'
loop_
_atom_site_label
_atom_site_type_symbol
_atom_site_fract_x
_atom_site_fract_y
_atom_site_fract_z
Ac1 Ac 0.0000 0.1152 0.0857
Sn1 Sn 0.0000 0.0000 0.5000
Sn2 Sn 0.2500 0.2122 0.7500
Au1 Au 0.0000 0.1806 0.4511
Au2 Au 0.2500 0.0430 0.7500
```

Values from the calculation:
V	921.8	Å³/cell
energy relative to the elements	-518	kJ/mol of formula units
density	11514	kg/m3
raw total energy	-154.80	eV/cell

# 10
Here is a relaxed AcSn4Au12 crystal from Alexandria via LeMat-Bulk. Energies are from PBE.

CIF file:
```
data_AcSn4Au12
_cell_length_a 9.4402
_cell_length_b 9.4402
_cell_length_c 9.4402
_cell_angle_alpha 90.00
_cell_angle_beta 90.00
_cell_angle_gamma 90.00
_symmetry_space_group_name_H-M 'I m -3'
_symmetry_Int_Tables_number 204
_symmetry_space_group_name_Hall '-I 2 2 3'
loop_
_atom_site_label
_atom_site_type_symbol
_atom_site_fract_x
_atom_site_fract_y
_atom_site_fract_z
Ac1 Ac 0.0000 0.0000 0.0000
Sn1 Sn 0.2500 0.2500 0.2500
Au1 Au 0.0000 0.1458 0.3504
```

Values from the calculation:
V	841.3	Å³/cell
energy relative to the elements	-101	kJ/mol of formula units
density	12101	kg/m3
raw total energy	-120.99	eV/cell

Question: What is the formula in the tenth record?
Answer: AcSn4Au12

Question: Which value of density does entry 8 give?
Answer: 8708 kg/m3

Question: The lowest raw total energy belongs to which entry?
Answer: Ac4SnAu2

Question: The highest V belongs to which entry?
Answer: Ac4SnAu2